Compound: HIr3Ru
Source: the Alexandria database
Functional: PBEsol
Structure: relaxed

The structure in POSCAR format:
```
HIr3Ru
1.0
4.627 0.000 0.000
0.000 4.627 0.000
0.000 0.000 4.627
Ru Ir H
1 3 1
Direct
0.000 0.000 0.000 Ru
0.000 0.500 0.000 Ir
0.000 0.000 0.500 Ir
0.500 0.000 0.000 Ir
0.500 0.500 0.500 H
```

V: 99.07 Å³/cell
N(E_F): 5.59 states/eV per cell
calculated total energy: -5.977 eV/atom
symmetry: Pm-3m, No. 221